{"formula": "Ta2Mo", "functional": "SCAN", "state": "PBEsol geometry", "magmom_total_mub_per_atom": 0.000, "relative_energy_kj_per_mol_atoms": 7.6, "formation_energy_ev_per_atom": -0.087, "sg": "P4/nmm (129)", "cell": [[3.206, 0.000, 0.000], [0.000, 3.206, 0.000], [0.000, 0.000, 9.771]], "species": ["Mo", "Mo", "Ta", "Ta", "Ta", "Ta"], "fractional_positions": [[0.500, 0.000, 0.922], [0.000, 0.500, 0.078], [0.500, 0.000, 0.242], [0.000, 0.500, 0.414], [0.500, 0.000, 0.586], [0.000, 0.500, 0.758]]}